1.
Compound: CeAlCuAu
Source: Alexandria
Functional: PBE
Structure: relaxed

abc: 6.7958 6.7958 6.7958
angles: 90.00 90.00 90.00
Closest atoms and distances in Å follow each position.
Fractional coordinates of all 16 atoms:
1 Ce 0.0000 0.0000 0.0000  4 Cu 2.94, 4 Au 2.94
2 Ce 0.0000 0.5000 0.5000  4 Cu 2.94, 4 Au 2.94
3 Ce 0.5000 0.0000 0.5000  4 Cu 2.94, 4 Au 2.94
4 Ce 0.5000 0.5000 0.0000  4 Cu 2.94, 4 Au 2.94
5 Al 0.0000 0.0000 0.5000  4 Cu 2.94, 4 Au 2.94
6 Al 0.0000 0.5000 0.0000  4 Cu 2.94, 4 Au 2.94
7 Al 0.5000 0.0000 0.0000  4 Cu 2.94, 4 Au 2.94
8 Al 0.5000 0.5000 0.5000  4 Cu 2.94, 4 Au 2.94
9 Cu 0.2500 0.2500 0.2500  4 Al 2.94, 4 Ce 2.94
10 Cu 0.2500 0.7500 0.7500  4 Ce 2.94, 4 Al 2.94
11 Cu 0.7500 0.2500 0.7500  4 Ce 2.94, 4 Al 2.94
12 Cu 0.7500 0.7500 0.2500  4 Ce 2.94, 4 Al 2.94
13 Au 0.2500 0.2500 0.7500  4 Ce 2.94, 4 Al 2.94
14 Au 0.2500 0.7500 0.2500  4 Ce 2.94, 4 Al 2.94
15 Au 0.7500 0.2500 0.2500  4 Ce 2.94, 4 Al 2.94
16 Au 0.7500 0.7500 0.7500  4 Ce 2.94, 4 Al 2.94

DOS at the Fermi energy: 15.538 states/eV/cell
Energy relative to the elements: -0.41 eV/atom

2.
Compound: ZnSNCl2
Source: Alexandria
Functional: PBE
Structure: relaxed

abc: 4.9604 4.9604 4.8676
angles: 90.00 90.00 90.00
Closest atoms and distances in Å follow each position.
Fractional coordinates of all 5 atoms:
1 Zn 0.0000 0.0000 0.0000  2 S 2.43, 4 Cl 2.48
2 S 0.0000 0.0000 0.5000  2 Zn 2.43
3 N 0.5000 0.5000 0.5000  8 Cl 3.47, 4 S 3.51
4 Cl 0.0000 0.5000 0.0000  2 Zn 2.48
5 Cl 0.5000 0.0000 0.0000  2 Zn 2.48

DOS at the Fermi energy: 2.708 states/eV/cell
ΔE_f (raw): 1.01 eV/atom

3.
Compound: RbNaTe2Os
Source: Alexandria
Functional: PBE
Structure: relaxed

abc: 5.3154 5.3154 5.6052
angles: 90.00 90.00 90.00
Closest atoms and distances in Å follow each position.
Fractional coordinates of all 5 atoms:
1 Rb 0.0000 0.0000 0.0000  4 Na 3.76, 8 Te 3.86
2 Na 0.5000 0.5000 0.0000  2 Os 2.80
3 Te 0.0000 0.5000 0.5000  2 Os 2.66
4 Te 0.5000 0.0000 0.5000  2 Os 2.66
5 Os 0.5000 0.5000 0.5000  4 Te 2.66, 2 Na 2.80

DOS at the Fermi energy: 5.334 states/eV/cell
ΔE_f (raw): 0.09 eV/atom

4.
Compound: Ni4Ge
Source: Alexandria
Functional: PBE
Structure: relaxed

abc: 2.6326 2.6326 29.6583
angles: 90.00 90.00 120.00
Closest atoms and distances in Å follow each position.
Fractional coordinates of all 15 atoms:
1 Ni 0.0000 0.0000 0.1000  3 Ge 2.49, 9 Ni 2.50-2.63
2 Ni 0.0000 0.0000 0.3004  12 Ni 2.47-2.63
3 Ni 0.0000 0.0000 0.6996  12 Ni 2.47-2.63
4 Ni 0.0000 0.0000 0.9000  3 Ge 2.49, 9 Ni 2.50-2.63
5 Ni 0.3333 0.6667 0.3663  12 Ni 2.47-2.63
6 Ni 0.3333 0.6667 0.5666  3 Ge 2.49, 9 Ni 2.50-2.63
7 Ni 0.3333 0.6667 0.7667  3 Ge 2.49, 9 Ni 2.50-2.63
8 Ni 0.3333 0.6667 0.9671  12 Ni 2.47-2.63
9 Ni 0.6667 0.3333 0.0329  12 Ni 2.47-2.63
10 Ni 0.6667 0.3333 0.2333  3 Ge 2.49, 9 Ni 2.50-2.63
11 Ni 0.6667 0.3333 0.4334  3 Ge 2.49, 9 Ni 2.50-2.63
12 Ni 0.6667 0.3333 0.6337  12 Ni 2.47-2.63
13 Ge 0.0000 0.0000 0.5000  6 Ni 2.49, 6 Ge 2.63
14 Ge 0.3333 0.6667 0.1667  6 Ni 2.49, 6 Ge 2.63
15 Ge 0.6667 0.3333 0.8333  6 Ni 2.49, 6 Ge 2.63

DOS at the Fermi energy: 24.166 states/eV/cell
Energy relative to the elements: 0.07 eV/atom

5.
Compound: AgMo2N
Source: Alexandria
Functional: PBE
Structure: relaxed

abc: 2.8205 2.8205 25.5413
angles: 90.00 90.00 120.00
Closest atoms and distances in Å follow each position.
Fractional coordinates of all 12 atoms:
1 Ag 0.0000 0.0000 0.0000  6 Ag 2.82, 2 Mo 2.85
2 Ag 0.3333 0.6667 0.6667  6 Ag 2.82, 2 Mo 2.85
3 Ag 0.6667 0.3333 0.3333  6 Ag 2.82, 2 Mo 2.85
4 Mo 0.0000 0.0000 0.1116  3 N 2.15
5 Mo 0.0000 0.0000 0.8884  3 N 2.15
6 Mo 0.3333 0.6667 0.5550  3 N 2.15
7 Mo 0.3333 0.6667 0.7783  3 N 2.15
8 Mo 0.6667 0.3333 0.2217  3 N 2.15
9 Mo 0.6667 0.3333 0.4450  3 N 2.15
10 N 0.0000 0.0000 0.5000  6 Mo 2.15
11 N 0.3333 0.6667 0.1667  6 Mo 2.15
12 N 0.6667 0.3333 0.8333  6 Mo 2.15

DOS at the Fermi energy: 8.302 states/eV/cell
ΔE_f (raw): 0.34 eV/atom

6.
Compound: Na2TlPSe4
Source: Alexandria
Functional: PBE
Structure: relaxed

abc: 7.5007 7.5007 8.3077
angles: 90.00 90.00 90.00
Closest atoms and distances in Å follow each position.
Fractional coordinates of all 16 atoms:
1 Na 0.0000 0.5000 0.2500  4 Se 2.89
2 Na 0.0000 0.5000 0.7500  4 Se 2.89
3 Na 0.5000 0.0000 0.2500  4 Se 2.89
4 Na 0.5000 0.0000 0.7500  4 Se 2.89
5 Tl 0.0000 0.0000 0.0000  8 Se 3.46-3.66
6 Tl 0.5000 0.5000 0.5000  8 Se 3.46-3.66
7 P 0.0000 0.0000 0.5000  4 Se 2.23
8 P 0.5000 0.5000 0.0000  4 Se 2.23
9 Se 0.1754 0.1754 0.3512  1 P 2.23
10 Se 0.1754 0.8246 0.6488  1 P 2.23
11 Se 0.3246 0.3246 0.8512  1 P 2.23
12 Se 0.3246 0.6754 0.1488  1 P 2.23
13 Se 0.6754 0.3246 0.1488  1 P 2.23
14 Se 0.6754 0.6754 0.8512  1 P 2.23
15 Se 0.8246 0.1754 0.6488  1 P 2.23
16 Se 0.8246 0.8246 0.3512  1 P 2.23

DOS at the Fermi energy: 0.000 states/eV/cell
ΔE_f (raw): -0.60 eV/atom

7.
Compound: Cs2K3Rb4
Source: Alexandria
Functional: PBE
Structure: relaxed

abc: 14.2404 14.2404 8.4558
angles: 96.02 96.02 71.12
Closest atoms and distances in Å follow each position.
Fractional coordinates of all 18 atoms:
1 Cs 0.0994 0.3455 0.3512  5 K 4.83-5.20, 4 Rb 4.97-5.17, 1 Cs 4.98
2 Cs 0.3455 0.0994 0.8512  5 K 4.83-5.20, 4 Rb 4.97-5.17, 1 Cs 4.98
3 Cs 0.6545 0.9006 0.1488  5 K 4.83-5.20, 4 Rb 4.97-5.17, 1 Cs 4.98
4 Cs 0.9006 0.6545 0.6488  5 K 4.83-5.20, 4 Rb 4.97-5.17, 1 Cs 4.98
5 K 0.1178 0.8822 0.7500  8 Rb 4.75-5.04, 2 Cs 5.11
6 K 0.2185 0.4608 0.9188  5 Rb 4.72-5.07, 4 Cs 4.83-5.20
7 K 0.4608 0.2185 0.4188  5 Rb 4.72-5.07, 4 Cs 4.83-5.20
8 K 0.5392 0.7815 0.5812  5 Rb 4.72-5.07, 4 Cs 4.83-5.20
9 K 0.7815 0.5392 0.0812  5 Rb 4.72-5.07, 4 Cs 4.83-5.20
10 K 0.8822 0.1178 0.2500  8 Rb 4.75-5.04, 2 Cs 5.11
11 Rb 0.0246 0.7614 0.1924  4 K 4.75-5.04, 2 Rb 4.77-4.93, 3 Cs 4.97-5.01
12 Rb 0.2386 0.9754 0.3076  4 K 4.75-5.04, 2 Rb 4.77-4.93, 3 Cs 4.97-5.01
13 Rb 0.3205 0.5732 0.4803  5 K 4.72-5.07, 4 Rb 4.77-4.90, 1 Cs 5.17
14 Rb 0.4268 0.6795 0.0197  5 K 4.72-5.07, 4 Rb 4.77-4.90, 1 Cs 5.17
15 Rb 0.5732 0.3205 0.9803  5 K 4.72-5.07, 4 Rb 4.77-4.90, 1 Cs 5.17
16 Rb 0.6795 0.4268 0.5197  5 K 4.72-5.07, 4 Rb 4.77-4.90, 1 Cs 5.17
17 Rb 0.7614 0.0246 0.6924  4 K 4.75-5.04, 2 Rb 4.77-4.93, 3 Cs 4.97-5.01
18 Rb 0.9754 0.2386 0.8076  4 K 4.75-5.04, 2 Rb 4.77-4.93, 3 Cs 4.97-5.01

DOS at the Fermi energy: 15.617 states/eV/cell
Energy relative to the elements: 0.01 eV/atom